Record 1
FePC2 at its PBEsol-relaxed geometry. Source: the Alexandria database, functional SCAN.

```
FePC2
1.0
-2.703 -0.457 -3.392
-2.093 -0.641 4.558
0.755 4.136 -1.158
C P Fe
4 2 2
Cartesian
-3.150 -0.166 1.130 C
-1.451 1.964 2.294 C
-2.173 3.069 -2.774 C
-1.308 1.210 -0.635 C
-2.885 0.371 -0.555 P
-0.974 1.840 -2.275 P
0.000 0.000 0.000 Fe
-1.156 2.668 0.562 Fe
```

Summary:
Calculated formation energy, eV per atom: 0.48



Record 2
MgTi14O25 at its PBEsol-relaxed geometry. Source: the Alexandria database, functional SCAN.

```
MgTi14O25
1.0
9.721 0.000 0.000
4.860 9.446 -0.003
4.860 1.886 9.925
O Ti Mg
50 28 2
Cartesian
14.088 9.450 1.221 O
10.156 3.781 8.803 O
5.354 5.670 6.185 O
7.938 1.877 5.634 O
10.156 3.771 6.083 O
11.970 3.755 2.469 O
15.073 9.452 8.733 O
6.679 7.560 0.617 O
9.229 3.786 3.772 O
17.625 9.445 9.260 O
11.940 7.556 2.479 O
12.332 9.421 7.430 O
7.938 5.676 9.252 O
7.963 9.455 5.619 O
10.212 7.547 6.151 O
7.502 3.776 7.443 O
6.679 7.553 4.341 O
15.078 5.636 8.702 O
7.066 9.489 2.481 O
11.488 5.668 4.291 O
1.817 1.887 0.663 O
9.285 7.561 3.839 O
7.472 7.578 7.453 O
5.354 1.883 8.701 O
14.088 5.663 3.737 O
11.504 9.456 4.288 O
6.677 3.779 4.298 O
11.504 5.657 0.670 O
4.378 1.886 3.725 O
7.066 5.624 2.478 O
11.488 9.444 0.667 O
5.357 1.917 6.184 O
4.363 5.697 1.220 O
10.204 7.552 8.686 O
12.763 3.773 9.305 O
4.369 1.880 1.190 O
15.064 9.447 6.198 O
9.285 7.551 1.120 O
6.618 3.789 0.658 O
12.763 3.780 5.581 O
12.764 7.554 5.624 O
12.376 1.844 7.442 O
7.954 5.664 5.631 O
7.954 1.888 9.255 O
11.479 1.878 4.303 O
12.376 5.709 7.444 O
9.238 3.780 1.236 O
7.109 1.911 2.492 O
14.084 9.416 3.738 O
12.823 7.544 9.264 O
8.439 7.554 9.359 Ti
11.028 7.557 0.618 Ti
6.151 9.433 0.586 Ti
6.801 1.868 7.461 Ti
13.270 9.447 9.305 Ti
12.640 5.648 2.497 Ti
15.878 9.430 4.379 Ti
13.285 5.650 9.342 Ti
6.157 5.682 0.580 Ti
6.142 1.888 4.398 Ti
11.002 3.779 0.564 Ti
16.526 9.474 7.416 Ti
13.291 5.653 5.550 Ti
13.291 1.900 9.336 Ti
6.801 5.684 7.425 Ti
8.413 3.775 9.305 Ti
6.171 1.886 0.617 Ti
11.028 7.555 4.341 Ti
12.640 9.464 2.461 Ti
13.300 9.445 5.525 Ti
3.564 1.902 5.544 Ti
6.151 5.680 4.372 Ti
8.410 7.552 5.578 Ti
8.413 3.777 5.581 Ti
2.916 1.859 2.506 Ti
11.665 7.525 7.467 Ti
11.032 3.780 4.344 Ti
7.777 3.807 2.455 Ti
7.808 7.556 2.479 Mg
11.633 3.776 7.443 Mg
```

Summary:
ΔE_f (raw), eV per formula unit: -129.5



Number 1: total magnetization 0.00 μB per formula unit. Number 2: total magnetization 6.15 μB per formula unit.